The following is a DFT calculation (PBE-GGA) of a geometry-optimized CuS5 structure.

Cell lengths 5.5031, 4.1250, 17.3846 Å; angles 103.22, 70.85, 131.52 degrees
Fractional positions:
1 S 0.0996 0.9535 0.0386
2 S 0.1907 0.2282 0.3575
3 S 0.1840 0.0138 0.4518
4 S 0.9004 0.0465 0.9614
5 S 0.1907 0.8385 0.7718
6 S 0.8093 0.7718 0.6425
7 S 0.8160 0.9862 0.5482
8 S 0.7776 0.5925 0.8729
9 S 0.2224 0.4075 0.1271
10 S 0.8093 0.1615 0.2282
11 Cu 0.7699 0.6829 0.2882
12 Cu 0.2301 0.3171 0.7118

Properties
formation energy from raw total energies: 74.6 meV/atom
magnetic moment: 0.0 μB/f.u.
DFT total energy: -48.57 eV per cell
theoretical density: 2.7 g/cm3